Entry 1:
{"formula": "InHgBr2", "functional": "GGA-PBEsol", "state": "relaxed", "de_polymorph_mev_per_atom": 142, "e_form_raw_ev_per_atom": -0.312, "spacegroup": "Cmm2", "cell": [[1.988, -3.163, 0.000], [1.988, 3.163, 0.000], [0.000, 0.000, 9.028]], "species": ["In", "Hg", "Br", "Br"], "frac_coords": [[0.000, 0.000, 0.000], [0.500, 0.500, 0.234], [0.000, 0.000, 0.439], [0.500, 0.500, 0.784]]}

---

Entry 2:
{"formula": "Ba3MoN4", "functional": "GGA-PBEsol", "state": "relaxed", "e_form_raw_ev_per_atom": -0.969, "spacegroup": "Pbca", "cell": [[10.309, 0.000, 0.000], [0.000, 12.122, 0.000], [0.000, 0.000, 10.829]], "species": ["Ba", "Ba", "Ba", "Ba", "Ba", "Ba", "Ba", "Ba", "Ba", "Ba", "Ba", "Ba", "Ba", "Ba", "Ba", "Ba", "Ba", "Ba", "Ba", "Ba", "Ba", "Ba", "Ba", "Ba", "Mo", "Mo", "Mo", "Mo", "Mo", "Mo", "Mo", "Mo", "N", "N", "N", "N", "N", "N", "N", "N", "N", "N", "N", "N", "N", "N", "N", "N", "N", "N", "N", "N", "N", "N", "N", "N", "N", "N", "N", "N", "N", "N", "N", "N"], "frac_coords": [[0.030, 0.106, 0.126], [0.030, 0.394, 0.626], [0.127, 0.644, 0.028], [0.127, 0.856, 0.528], [0.199, 0.118, 0.721], [0.199, 0.382, 0.221], [0.301, 0.618, 0.721], [0.301, 0.882, 0.221], [0.373, 0.144, 0.028], [0.373, 0.356, 0.528], [0.470, 0.606, 0.126], [0.470, 0.894, 0.626], [0.530, 0.106, 0.374], [0.530, 0.394, 0.874], [0.627, 0.644, 0.472], [0.627, 0.856, 0.972], [0.699, 0.118, 0.779], [0.699, 0.382, 0.279], [0.801, 0.618, 0.779], [0.801, 0.882, 0.279], [0.873, 0.144, 0.472], [0.873, 0.356, 0.972], [0.970, 0.606, 0.374], [0.970, 0.894, 0.874], [0.197, 0.113, 0.404], [0.197, 0.387, 0.904], [0.303, 0.613, 0.404], [0.303, 0.887, 0.904], [0.697, 0.113, 0.096], [0.697, 0.387, 0.596], [0.803, 0.613, 0.096], [0.803, 0.887, 0.596], [0.070, 0.016, 0.348], [0.070, 0.484, 0.848], [0.121, 0.218, 0.506], [0.121, 0.282, 0.006], [0.189, 0.535, 0.505], [0.189, 0.965, 0.005], [0.212, 0.677, 0.273], [0.212, 0.823, 0.773], [0.288, 0.177, 0.273], [0.288, 0.323, 0.773], [0.311, 0.035, 0.505], [0.311, 0.465, 0.005], [0.379, 0.718, 0.506], [0.379, 0.782, 0.006], [0.430, 0.516, 0.348], [0.430, 0.984, 0.848], [0.570, 0.016, 0.152], [0.570, 0.484, 0.652], [0.621, 0.218, 0.994], [0.621, 0.282, 0.494], [0.689, 0.535, 0.995], [0.689, 0.965, 0.495], [0.712, 0.677, 0.227], [0.712, 0.823, 0.727], [0.788, 0.177, 0.227], [0.788, 0.323, 0.727], [0.811, 0.035, 0.995], [0.811, 0.465, 0.495], [0.879, 0.718, 0.994], [0.879, 0.782, 0.494], [0.930, 0.516, 0.152], [0.930, 0.984, 0.652]]}

---

Entry 3:
{"formula": "InAsW2", "functional": "GGA-PBEsol", "state": "relaxed", "delta_e_f_ev_per_atom": 0.465, "de_polymorph_mev_per_atom": 0, "spacegroup": "P4/mmm", "cell": [[3.098, 0.000, 0.000], [0.000, 3.098, 0.000], [0.000, 0.000, 6.948]], "species": ["In", "As", "W", "W"], "frac_coords": [[0.000, 0.000, 0.000], [0.000, 0.000, 0.500], [0.500, 0.500, 0.299], [0.500, 0.500, 0.701]]}

---

Entry 4:
{"formula": "LaSi2Os2", "functional": "GGA-PBEsol", "state": "relaxed", "e_form_raw_ev_per_atom": -0.722, "spacegroup": "I4/mmm", "cell": [[-2.096, 2.096, 4.959], [2.096, -2.096, 4.959], [2.096, 2.096, -4.959]], "species": ["La", "Si", "Si", "Os", "Os"], "frac_coords": [[0.000, 0.000, 0.000], [0.366, 0.366, 0.000], [0.634, 0.634, 0.000], [0.250, 0.750, 0.500], [0.750, 0.250, 0.500]]}

---

Entry 5:
{"formula": "NaAgS2", "functional": "GGA-PBEsol", "state": "relaxed", "e_form_raw_ev_per_atom": -0.168, "spacegroup": "I-42d", "cell": [[-2.388, 2.388, 8.426], [2.388, -2.388, 8.426], [2.388, 2.388, -8.426]], "species": ["Na", "Na", "Ag", "Ag", "S", "S", "S", "S"], "frac_coords": [[0.000, 0.000, 0.000], [0.750, 0.250, 0.500], [0.250, 0.750, 0.500], [0.500, 0.500, 0.000], [0.301, 0.625, 0.176], [0.375, 0.551, 0.676], [0.449, 0.125, 0.824], [0.875, 0.699, 0.324]]}

---

Entry 6:
{"formula": "CsRhIO2", "functional": "GGA-PBEsol", "state": "relaxed", "e_form_raw_ev_per_atom": 0.903, "spacegroup": "P4/mmm", "cell": [[4.149, 0.000, 0.000], [0.000, 4.149, 0.000], [0.000, 0.000, 7.461]], "species": ["Cs", "Rh", "I", "O", "O"], "frac_coords": [[0.000, 0.000, 0.000], [0.500, 0.500, 0.500], [0.000, 0.000, 0.500], [0.000, 0.500, 0.000], [0.500, 0.000, 0.000]]}

---

Entry 7:
{"formula": "Al2Ga2Bi2O9", "functional": "GGA-PBEsol", "state": "relaxed", "e_form_raw_ev_per_atom": -2.068, "spacegroup": "Pbam", "cell": [[7.768, 0.000, 0.000], [0.000, 8.299, 0.000], [0.000, 0.000, 5.851]], "species": ["Al", "Al", "Al", "Al", "Ga", "Ga", "Ga", "Ga", "Bi", "Bi", "Bi", "Bi", "O", "O", "O", "O", "O", "O", "O", "O", "O", "O", "O", "O", "O", "O", "O", "O", "O", "O"], "frac_coords": [[0.144, 0.160, 0.000], [0.356, 0.660, 0.000], [0.644, 0.340, 0.000], [0.856, 0.840, 0.000], [0.000, 0.500, 0.239], [0.000, 0.500, 0.761], [0.500, 0.000, 0.239], [0.500, 0.000, 0.761], [0.172, 0.826, 0.500], [0.328, 0.326, 0.500], [0.672, 0.674, 0.500], [0.828, 0.174, 0.500], [0.000, 0.000, 0.000], [0.125, 0.285, 0.251], [0.125, 0.285, 0.749], [0.141, 0.590, 0.000], [0.153, 0.562, 0.500], [0.347, 0.062, 0.500], [0.359, 0.090, 0.000], [0.375, 0.785, 0.251], [0.375, 0.785, 0.749], [0.500, 0.500, 0.000], [0.625, 0.215, 0.251], [0.625, 0.215, 0.749], [0.641, 0.910, 0.000], [0.653, 0.938, 0.500], [0.847, 0.438, 0.500], [0.859, 0.410, 0.000], [0.875, 0.715, 0.251], [0.875, 0.715, 0.749]]}

---

Entry 8:
{"formula": "K2TlPCO7", "functional": "GGA-PBEsol", "state": "relaxed", "e_form_raw_ev_per_atom": -1.743, "spacegroup": "P2_1/m", "cell": [[5.514, 0.000, 0.000], [0.000, 7.116, 0.000], [-0.098, 0.000, 9.919]], "species": ["K", "K", "K", "K", "Tl", "Tl", "P", "P", "C", "C", "O", "O", "O", "O", "O", "O", "O", "O", "O", "O", "O", "O", "O", "O"], "frac_coords": [[0.249, 0.021, 0.220], [0.249, 0.479, 0.220], [0.751, 0.521, 0.780], [0.751, 0.979, 0.780], [0.285, 0.250, 0.623], [0.715, 0.750, 0.377], [0.220, 0.750, 0.572], [0.780, 0.250, 0.428], [0.240, 0.250, 0.896], [0.760, 0.750, 0.104], [0.056, 0.250, 0.808], [0.066, 0.250, 0.437], [0.203, 0.250, 0.020], [0.305, 0.574, 0.651], [0.305, 0.926, 0.651], [0.320, 0.750, 0.425], [0.455, 0.250, 0.842], [0.545, 0.750, 0.158], [0.680, 0.250, 0.575], [0.695, 0.074, 0.349], [0.695, 0.426, 0.349], [0.797, 0.750, 0.980], [0.934, 0.750, 0.563], [0.944, 0.750, 0.192]]}

---

| no. | total energy (eV/atom) |
| --- | --- |
| 1 | -2.13 |
| 2 | -7.51 |
| 3 | -8.46 |
| 4 | -8.98 |
| 5 | -3.54 |
| 6 | -3.37 |
| 7 | -6.78 |
| 8 | -6.50 |